[1]
{
  "formula": "KCd2",
  "functional": "PBEsol",
  "state": "relaxed",
  "space_group": "No. 194",
  "formation_energy_ev_per_atom": -0.07,
  "crystal_system": "hexagonal",
  "cell": [[-5.200, 3.141, 1.277], [2.431, -3.832, 4.236], [5.432, 7.501, 3.667]],
  "species": ["Cd", "Cd", "Cd", "Cd", "Cd", "Cd", "Cd", "Cd", "K", "K", "K", "K"],
  "frac_coords": [[0.000, 0.000, 0.000], [0.000, 0.000, 0.500], [0.167, 0.833, 0.750], [0.833, 0.167, 0.250], [0.665, 0.833, 0.750], [0.167, 0.335, 0.750], [0.833, 0.665, 0.250], [0.335, 0.167, 0.250], [0.667, 0.333, 0.940], [0.333, 0.667, 0.440], [0.333, 0.667, 0.060], [0.667, 0.333, 0.560]]
}


[2]
{
  "formula": "Sm3Si2ClO8",
  "functional": "PBEsol",
  "state": "relaxed",
  "space_group": "No. 62",
  "raw_formation_energy_ev_per_atom": -3.221,
  "crystal_system": "orthorhombic",
  "cell": [[6.234, 0.000, 0.000], [0.000, 7.005, 0.000], [0.000, 0.000, 17.926]],
  "species": ["Sm", "Sm", "Sm", "Sm", "Sm", "Sm", "Sm", "Sm", "Sm", "Sm", "Sm", "Sm", "Si", "Si", "Si", "Si", "Si", "Si", "Si", "Si", "Cl", "Cl", "Cl", "Cl", "O", "O", "O", "O", "O", "O", "O", "O", "O", "O", "O", "O", "O", "O", "O", "O", "O", "O", "O", "O", "O", "O", "O", "O", "O", "O", "O", "O", "O", "O", "O", "O"],
  "frac_coords": [[0.874, 0.484, 0.408], [0.374, 0.016, 0.592], [0.626, 0.984, 0.092], [0.126, 0.516, 0.908], [0.126, 0.516, 0.592], [0.626, 0.984, 0.408], [0.374, 0.016, 0.908], [0.874, 0.484, 0.092], [0.885, 0.798, 0.750], [0.385, 0.702, 0.250], [0.615, 0.298, 0.750], [0.115, 0.202, 0.250], [0.378, 0.475, 0.100], [0.878, 0.025, 0.900], [0.122, 0.975, 0.400], [0.622, 0.525, 0.600], [0.378, 0.475, 0.400], [0.878, 0.025, 0.600], [0.122, 0.975, 0.100], [0.622, 0.525, 0.900], [0.755, 0.447, 0.250], [0.255, 0.053, 0.750], [0.745, 0.947, 0.250], [0.245, 0.553, 0.750], [0.212, 0.488, 0.470], [0.712, 0.012, 0.530], [0.288, 0.988, 0.030], [0.788, 0.512, 0.970], [0.788, 0.512, 0.530], [0.288, 0.988, 0.470], [0.712, 0.012, 0.970], [0.212, 0.488, 0.030], [0.220, 0.464, 0.325], [0.720, 0.036, 0.675], [0.280, 0.964, 0.175], [0.780, 0.536, 0.825], [0.780, 0.536, 0.675], [0.280, 0.964, 0.325], [0.720, 0.036, 0.825], [0.220, 0.464, 0.175], [0.551, 0.302, 0.404], [0.051, 0.198, 0.596], [0.949, 0.802, 0.096], [0.449, 0.698, 0.904], [0.449, 0.698, 0.596], [0.949, 0.802, 0.404], [0.051, 0.198, 0.904], [0.551, 0.302, 0.096], [0.970, 0.162, 0.119], [0.470, 0.338, 0.881], [0.530, 0.662, 0.381], [0.030, 0.838, 0.619], [0.030, 0.838, 0.881], [0.530, 0.662, 0.119], [0.470, 0.338, 0.619], [0.970, 0.162, 0.381]]
}


[3]
{
  "formula": "ScSnO3",
  "functional": "PBEsol",
  "state": "relaxed",
  "space_group": "No. 221",
  "raw_formation_energy_ev_per_atom": -1.868,
  "crystal_system": "cubic",
  "cell": [[-0.011, -2.288, -3.342], [0.615, -3.304, 2.260], [-4.003, -0.501, 0.356]],
  "species": ["Sc", "Sn", "O", "O", "O"],
  "frac_coords": [[0.000, 0.000, 0.000], [0.500, 0.500, 0.500], [0.000, 0.500, 0.000], [0.000, 0.000, 0.500], [0.500, 0.000, 0.000]]
}


[4]
{
  "formula": "RbBaY3",
  "functional": "PBEsol",
  "state": "relaxed",
  "space_group": "No. 221",
  "formation_energy_ev_per_atom": 0.93,
  "crystal_system": "cubic",
  "cell": [[-4.935, -1.448, 2.968], [3.301, -2.286, 4.374], [0.076, 5.285, 2.705]],
  "species": ["Y", "Y", "Y", "Ba", "Rb"],
  "frac_coords": [[0.000, 0.500, 0.000], [0.000, 0.000, 0.500], [0.500, 0.000, 0.000], [0.000, 0.000, 0.000], [0.500, 0.500, 0.500]]
}


[5]
{
  "formula": "NaNiBO3",
  "functional": "PBEsol",
  "state": "relaxed",
  "space_group": "No. 15",
  "raw_formation_energy_ev_per_atom": -1.604,
  "crystal_system": "monoclinic",
  "cell": [[4.927, 0.000, 0.073], [2.463, 4.344, 0.037], [1.140, 0.000, 5.387]],
  "species": ["Na", "Na", "Ni", "Ni", "B", "B", "O", "O", "O", "O", "O", "O"],
  "frac_coords": [[0.665, 0.670, 0.750], [0.335, 0.330, 0.250], [0.000, 0.000, 0.000], [0.000, 0.000, 0.500], [0.332, 0.336, 0.750], [0.668, 0.664, 0.250], [0.173, 0.655, 0.750], [0.827, 0.345, 0.250], [0.633, 0.178, 0.806], [0.189, 0.178, 0.694], [0.811, 0.822, 0.306], [0.367, 0.822, 0.194]]
}


[6]
{
  "formula": "LaAgAs2",
  "functional": "PBEsol",
  "state": "relaxed",
  "space_group": "No. 160",
  "formation_energy_ev_per_atom": -0.02,
  "crystal_system": "trigonal",
  "cell": [[-1.797, 0.810, -2.987], [-3.579, -0.023, 0.003], [-1.841, 8.221, 1.193]],
  "species": ["As", "As", "Ag", "La"],
  "frac_coords": [[0.005, 0.005, 0.984], [0.734, 0.734, 0.797], [0.263, 0.263, 0.210], [0.497, 0.497, 0.508]]
}


no.,V (Å³/cell),DFT total energy (eV/atom)
1,332.48,-1.24
2,782.85,-8.28
3,66.44,-7.19
4,209.34,-3.80
5,114.93,-6.66
6,91.56,-4.74